Dy2ZnFe: relaxed, PBE.

```
Dy2ZnFe
1.0
0.000 3.464 3.464
3.464 0.000 3.464
3.464 3.464 0.000
Dy Zn Fe
2 1 1
direct
0.250 0.250 0.250 Dy
0.750 0.750 0.750 Dy
0.000 0.000 0.000 Zn
0.500 0.500 0.500 Fe
```

DOS(E_F)   1.26 states/eV per atom
Polymorph energy (0 for the lowest one)   30 meV per atom
ΔE_f   -76.3 meV/atom